(1)
This record from Alexandria via LeMat-Bulk describes an optimized crystal structure of Ce2EuIn. The functional is PBE.

Structure (POSCAR):
```
Ce2EuIn
1.0
4.208 0.000 0.000
0.000 4.208 0.000
0.000 0.000 7.225
Eu Ce In
1 2 1
Direct
0.500 0.500 0.500
0.000 0.000 0.195
0.000 0.000 0.805
0.500 0.500 0.000
```

Calculated values
**Symmetry**: P4/mmm
**E**: -6.29 eV per atom
**Energy of formation**: -68 meV per atom



(2)
This record from Alexandria via LeMat-Bulk describes an optimized crystal structure of Rb2NaCl4. The functional is PBE.

Structure (POSCAR):
```
Rb2NaCl4
1.0
-0.249 5.202 1.192
-1.395 1.089 -5.041
-7.218 -3.997 3.966
Cl Rb Na
4 2 1
Direct
0.831 0.831 0.662
0.169 0.169 0.338
0.500 0.000 0.000
0.000 0.500 0.000
0.365 0.365 0.731
0.635 0.635 0.269
0.000 0.000 0.000
```

Calculated values
**Raw formation energy**: -10.36 eV per formula unit
**Symmetry**: I4/mmm
**E**: -3.00 eV per atom



(3)
This record from Alexandria via LeMat-Bulk describes an optimized crystal structure of Li2NbS. The functional is PBE.

Structure (POSCAR):
```
Li2NbS
1.0
-1.237 6.894 2.150
-7.196 -0.996 -0.946
-4.412 2.204 2.877
Li S Nb
4 2 2
Direct
0.192 0.625 0.250
0.375 0.442 0.750
0.875 0.808 0.750
0.558 0.125 0.250
0.500 0.500 0.000
0.250 0.750 0.500
0.000 0.000 0.000
0.750 0.250 0.500
```

Calculated values
**Raw formation energy**: -0.56 eV per formula unit
**Symmetry**: I-42d
**E**: -4.65 eV per atom



(4)
This record from Alexandria via LeMat-Bulk describes an optimized crystal structure of TaAlGa2. The functional is PBE.

Structure (POSCAR):
```
TaAlGa2
1.0
-0.805 -1.464 -3.440
0.940 -3.485 1.263
-4.191 1.814 2.334
Ga Ta Al
2 1 1
Direct
0.750 0.250 0.500
0.500 0.500 0.000
0.250 0.750 0.500
0.000 0.000 0.000
```

Calculated values
**Symmetry**: I-4m2
**E**: -5.66 eV per atom
**Energy of formation**: -249 meV per atom



(5)
This record from Alexandria via LeMat-Bulk describes an optimized crystal structure of NaMgZrB2. The functional is PBE.

Structure (POSCAR):
```
NaMgZrB2
1.0
4.546 0.000 0.000
0.000 5.551 0.000
0.000 0.000 4.546
Zr B Mg Na
1 2 1 1
Direct
0.000 0.000 0.000
0.000 0.000 0.500
0.500 0.000 0.000
0.000 0.500 0.000
0.500 0.500 0.500
```

Calculated values
**Symmetry**: P4/mmm
**E**: -3.72 eV per atom
**Energy of formation**: 1239 meV per atom



(6)
This record from Alexandria via LeMat-Bulk describes an optimized crystal structure of Ba2RePb. The functional is PBE.

Structure (POSCAR):
```
Ba2RePb
1.0
4.365 -0.005 0.007
2.972 3.197 0.007
1.076 0.468 10.095
Ba Re Pb
2 1 1
Direct
0.994 0.994 0.036
0.506 0.506 0.464
0.250 0.250 0.250
0.750 0.750 0.750
```

Calculated values
**Symmetry**: C2/m
**E**: -4.12 eV per atom
**Energy of formation**: 877 meV per atom



(7)
This record from Alexandria via LeMat-Bulk describes an optimized crystal structure of Nd2Gd. The functional is PBE.

Structure (POSCAR):
```
Nd2Gd
1.0
6.718 0.000 0.000
3.359 5.818 0.000
3.359 1.939 5.485
Nd Gd
4 2
Direct
0.625 0.125 0.625
0.625 0.625 0.125
0.625 0.625 0.625
0.125 0.625 0.625
0.250 0.250 0.250
0.000 0.000 0.000
```

Calculated values
**Symmetry**: Fd-3m
**E**: -7.64 eV per atom
**Energy of formation**: 236 meV per atom



(8)
This record from Alexandria via LeMat-Bulk describes an optimized crystal structure of Sr2Ca3Cd4. The functional is PBE.

Structure (POSCAR):
```
Sr2Ca3Cd4
1.0
-7.747 3.564 0.551
-0.486 -8.399 2.276
1.571 2.141 8.236
Cd Sr Ca
8 4 6
Direct
0.633 0.921 0.039
0.133 0.921 0.461
0.367 0.079 0.961
0.867 0.079 0.539
0.128 0.506 0.874
0.372 0.494 0.374
0.628 0.506 0.626
0.872 0.494 0.126
0.063 0.187 0.169
0.937 0.813 0.831
0.563 0.187 0.331
0.437 0.813 0.669
0.748 0.247 0.827
0.752 0.753 0.327
0.500 0.500 0.000
0.000 0.500 0.500
0.252 0.753 0.173
0.248 0.247 0.673
```

Calculated values
**Symmetry**: P2_1/c
**E**: -1.75 eV per atom
**Energy of formation**: -298 meV per atom



(9)
This record from Alexandria via LeMat-Bulk describes an optimized crystal structure of Ho2PaGeO8. The functional is PBE.

Structure (POSCAR):
```
Ho2PaGeO8
1.0
-1.527 -4.738 -0.043
4.676 -1.368 1.027
-1.336 0.370 6.570
Ge Ho O Pa
1 2 8 1
Direct
0.000 0.000 0.000
0.500 0.500 0.237
0.500 0.500 0.763
0.729 0.730 0.000
0.271 0.270 0.000
0.181 0.818 0.225
0.181 0.818 0.775
0.697 0.698 0.500
0.819 0.182 0.225
0.819 0.182 0.775
0.303 0.302 0.500
0.000 0.000 0.500
```

Calculated values
**Raw formation energy**: -33.89 eV per formula unit
**Symmetry**: Cmmm
**E**: -8.07 eV per atom



(10)
This record from Alexandria via LeMat-Bulk describes an optimized crystal structure of BeAsPtBr2. The functional is PBE.

Structure (POSCAR):
```
BeAsPtBr2
1.0
4.617 0.000 0.000
0.000 4.617 0.000
0.000 0.000 4.704
Br As Be Pt
2 1 1 1
Direct
0.500 0.000 0.000
0.000 0.500 0.000
0.000 0.000 0.500
0.000 0.000 0.000
0.500 0.500 0.500
```

Calculated values
**Raw formation energy**: 3.26 eV per formula unit
**Symmetry**: P4/mmm
**E**: -2.90 eV per atom



(11)
This record from Alexandria via LeMat-Bulk describes an optimized crystal structure of Tm3ZnPd. The functional is PBE.

Structure (POSCAR):
```
Tm3ZnPd
1.0
4.791 0.000 1.095
0.000 4.909 0.000
0.257 0.000 9.905
Zn Tm Pd
2 6 2
Direct
0.481 0.750 0.686
0.167 0.250 0.314
0.075 0.750 0.499
0.756 0.250 0.137
0.390 0.250 0.868
0.893 0.750 0.863
0.574 0.250 0.501
0.258 0.750 0.132
0.987 0.250 0.675
0.662 0.750 0.325
```

Calculated values
**Symmetry**: Cmcm
**E**: -4.48 eV per atom
**Energy of formation**: -499 meV per atom



(12)
This record from Alexandria via LeMat-Bulk describes an optimized crystal structure of CsAlHg3. The functional is PBE.

Structure (POSCAR):
```
CsAlHg3
1.0
5.502 0.000 0.000
0.000 5.502 0.000
0.000 0.000 5.502
Hg Al Cs
3 1 1
Direct
0.000 0.500 0.000
0.000 0.000 0.500
0.500 0.000 0.000
0.000 0.000 0.000
0.500 0.500 0.500
```

Calculated values
**Symmetry**: Pm-3m
**E**: -1.22 eV per atom
**Energy of formation**: -124 meV per atom



E of number 10 (BeAsPtBr2)?
-2.90 eV per atom